Be2TeAu: single point on PBEsol structure, meta-GGA SCAN.

a b c (Å): 3.299 4.415 4.415
angles (deg): 102.57 90.00 90.00
Element x y z (fractional)
Au: 0.500 0.500 0.500
Be: 0.000 0.000 0.500
Be: 0.000 0.500 0.000
Te: 0.500 0.000 0.000

The value obtained for the raw total energy is -113.31 eV per cell. The value obtained for the size of the total moment is 0.0 μB per formula unit. As for the formation energy without anion corrections: 0.452 eV/atom.